(1)
# DyB6N6 (PBE, optimized geometry)
data_DyB6N6
_chemical_formula_sum 'Dy1 B6 N6'
_cell_length_a 4.6484
_cell_length_b 4.6484
_cell_length_c 4.6484
_cell_angle_alpha 90.00
_cell_angle_beta 90.00
_cell_angle_gamma 90.00
_space_group_name_H-M_alt 'P m -3'
_space_group_IT_number 200
_space_group_name_Hall '-P 2 2 3'
loop_
_atom_site_label
_atom_site_type_symbol
_atom_site_fract_x
_atom_site_fract_y
_atom_site_fract_z
Dy1 Dy 0.0000 0.0000 0.0000
B1 B 0.0000 0.2383 0.5000
N1 N 0.0000 0.5000 0.2493
# Total moment (μB/f.u.): 0.0
# Crystal system: cubic
# ΔE_f (raw) (eV/atom): -0.230

=====

(2)
# DyB3N3 (PBE, optimized geometry)
data_DyB3N3
_chemical_formula_sum 'Dy2 B6 N6'
_cell_length_a 4.7991
_cell_length_b 4.7991
_cell_length_c 4.7991
_cell_angle_alpha 90.00
_cell_angle_beta 90.00
_cell_angle_gamma 90.00
_space_group_name_H-M_alt 'P m -3 n'
_space_group_IT_number 223
_space_group_name_Hall '-P 4n 2 3'
loop_
_atom_site_label
_atom_site_type_symbol
_atom_site_fract_x
_atom_site_fract_y
_atom_site_fract_z
Dy1 Dy 0.0000 0.0000 0.0000
B1 B 0.0000 0.2500 0.5000
N1 N 0.0000 0.5000 0.2500
# Total moment (μB/f.u.): 0.0
# Crystal system: cubic
# ΔE_f (raw) (eV/atom): 0.229

=====

(3)
# DyBN (PBE, optimized geometry)
data_DyBN
_chemical_formula_sum 'Dy4 B4 N4'
_cell_length_a 4.9628
_cell_length_b 5.0189
_cell_length_c 6.2481
_cell_angle_alpha 90.00
_cell_angle_beta 101.51
_cell_angle_gamma 90.00
_space_group_name_H-M_alt 'C 1 2/m 1'
_space_group_IT_number 12
loop_
_space_group_symop_operation_xyz
'x,y,z'
'-x,-y,-z'
'-x,y,-z'
'x,-y,z'
'x+1/2,y+1/2,z'
'-x+1/2,-y+1/2,-z'
'-x+1/2,y+1/2,-z'
'x+1/2,-y+1/2,z'
loop_
_atom_site_label
_atom_site_type_symbol
_atom_site_fract_x
_atom_site_fract_y
_atom_site_fract_z
Dy1 Dy 0.1948 0.0000 0.2877
B1 B 0.1331 0.5000 0.0963
N1 N 0.2089 0.5000 0.3286
# Total moment (μB/f.u.): 0.0
# Crystal system: monoclinic
# ΔE_f (raw) (eV/atom): -1.104

=====

Copy entry 3 word for word.
# DyBN (PBE, optimized geometry)
data_DyBN
_chemical_formula_sum 'Dy4 B4 N4'
_cell_length_a 4.9628
_cell_length_b 5.0189
_cell_length_c 6.2481
_cell_angle_alpha 90.00
_cell_angle_beta 101.51
_cell_angle_gamma 90.00
_space_group_name_H-M_alt 'C 1 2/m 1'
_space_group_IT_number 12
loop_
_space_group_symop_operation_xyz
'x,y,z'
'-x,-y,-z'
'-x,y,-z'
'x,-y,z'
'x+1/2,y+1/2,z'
'-x+1/2,-y+1/2,-z'
'-x+1/2,y+1/2,-z'
'x+1/2,-y+1/2,z'
loop_
_atom_site_label
_atom_site_type_symbol
_atom_site_fract_x
_atom_site_fract_y
_atom_site_fract_z
Dy1 Dy 0.1948 0.0000 0.2877
B1 B 0.1331 0.5000 0.0963
N1 N 0.2089 0.5000 0.3286
# Total moment (μB/f.u.): 0.0
# Crystal system: monoclinic
# ΔE_f (raw) (eV/atom): -1.104

=====

Which of these has the highest ΔE_f (raw)? DyB3N3

=====

What is the total moment in the third record? 0.0 μB/f.u.